LiRuBr2 | PBE-GGA | optimized geometry

Cell and atoms, written as CIF:
```
data_LiRuBr2
_space_group_name_H-M_alt 'C 1 m 1'
_space_group_IT_number 8
_cell_length_a 14.688
_cell_length_b 3.543
_cell_length_c 3.546
_cell_angle_alpha 90.00
_cell_angle_beta 90.81
_cell_angle_gamma 90.00
loop_
_space_group_symop_operation_xyz
'x,y,z'
'x,-y,z'
'x+1/2,y+1/2,z'
'x+1/2,-y+1/2,z'
loop_
_atom_site_label
_atom_site_fract_x
_atom_site_fract_y
_atom_site_fract_z
_atom_site_occupancy
Li1 0.000 0.000 0.000 1
Ru1 0.364 0.000 0.492 1
Br1 0.049 0.500 0.503 1
Br2 0.310 0.500 0.988 1
```

Formation energy from raw total energies ... -0.17 eV per atom
Total energy ... -3.8023 eV/atom
E above lowest polymorph ... 0.0 meV/atom